[1]
NpCdBr5: optimized geometry, PBE-GGA.

a = 7.816 Å, b = 7.816 Å, c = 10.942 Å
α = 110.92°, β = 110.92°, γ = 87.20°
Sites, in units of the cell vectors:
Np  0.000  0.500  0.000
Np  0.500  0.000  0.500
Cd  0.129  0.871  0.750
Cd  0.871  0.129  0.250
Br  0.169  0.190  0.477
Br  0.178  0.587  0.837
Br  0.190  0.169  0.977
Br  0.314  0.686  0.250
Br  0.413  0.822  0.663
Br  0.587  0.178  0.337
Br  0.686  0.314  0.750
Br  0.810  0.831  0.023
Br  0.822  0.413  0.163
Br  0.831  0.810  0.523

Its space-group type is C2/c. As for the theoretical density: 4.28 g/cm3. The total moment comes out at 8.00 μB per cell. For the uncorrected formation energy, the calculation gives -1.076 eV/atom.

---

[2]
Tb6PrSm2Er: optimized geometry, PBE-GGA.

a = 8.825 Å, b = 8.825 Å, c = 9.680 Å
α = 94.09°, β = 94.09°, γ = 117.90°
Sites, in units of the cell vectors:
Tb  0.018  0.569  0.185
Tb  0.123  0.745  0.557
Tb  0.255  0.877  0.943
Tb  0.294  0.508  0.381
Tb  0.431  0.982  0.315
Tb  0.492  0.706  0.119
Tb  0.508  0.294  0.881
Tb  0.569  0.018  0.685
Tb  0.706  0.492  0.619
Tb  0.745  0.123  0.057
Tb  0.877  0.255  0.443
Tb  0.982  0.431  0.815
Pr  0.021  0.979  0.250
Pr  0.979  0.021  0.750
Sm  0.198  0.301  0.044
Sm  0.301  0.198  0.544
Sm  0.699  0.802  0.456
Sm  0.802  0.699  0.956
Er  0.408  0.592  0.750
Er  0.592  0.408  0.250

Its space-group type is C2/c. As for the theoretical density: 7.86 g/cm3. The total moment comes out at 0.00 μB per cell. The formation energy comes out at 0.116 eV per atom.

---

[3]
La2Si5Ni3: optimized geometry, PBE-GGA.

a = 8.105 Å, b = 8.105 Å, c = 8.105 Å
α = 105.91°, β = 89.06°, γ = 137.93°
Sites, in units of the cell vectors:
La  0.129  0.240  0.369
La  0.371  0.740  0.110
La  0.629  0.260  0.890
La  0.871  0.760  0.631
Si  0.010  0.750  0.260
Si  0.111  0.643  0.754
Si  0.250  0.250  0.000
Si  0.389  0.143  0.532
Si  0.490  0.750  0.740
Si  0.510  0.250  0.260
Si  0.611  0.857  0.468
Si  0.750  0.750  0.000
Si  0.889  0.357  0.246
Si  0.990  0.250  0.740
Ni  0.132  0.888  0.020
Ni  0.250  0.750  0.500
Ni  0.368  0.388  0.756
Ni  0.632  0.612  0.244
Ni  0.750  0.250  0.500
Ni  0.868  0.112  0.980

Its space-group type is Ibam. As for the theoretical density: 6.01 g/cm3. The total moment comes out at 0.00 μB per cell. For the uncorrected formation energy, the calculation gives -0.771 eV/atom.

---

[4]
Pa2TaPb: optimized geometry, PBE-GGA.

a = 11.707 Å, b = 11.707 Å, c = 11.707 Å
α = 15.49°, β = 15.49°, γ = 15.49°
Sites, in units of the cell vectors:
Pa  0.081  0.081  0.081
Pa  0.919  0.919  0.919
Ta  0.000  0.000  0.000
Pb  0.500  0.500  0.500

Its space-group type is R-3m. As for the theoretical density: 14.16 g/cm3. The offset from the most stable computed form comes out at 30.04 kJ/mol of atoms. The total moment comes out at 0.00 μB per cell. The formation energy comes out at 0.461 eV per atom.

---

[5]
NpGaSb2: optimized geometry, PBE-GGA.

a = 12.083 Å, b = 12.083 Å, c = 12.083 Å
α = 15.16°, β = 15.16°, γ = 15.16°
Sites, in units of the cell vectors:
Np  0.000  0.000  0.000
Ga  0.500  0.500  0.500
Sb  0.089  0.089  0.089
Sb  0.911  0.911  0.911

Its space-group type is R-3m. As for the theoretical density: 8.70 g/cm3. The offset from the most stable computed form comes out at 53.35 kJ/mol of atoms. The total moment comes out at 4.41 μB per cell. For the uncorrected formation energy, the calculation gives 0.354 eV/atom.

---

[6]
Sr2CuP: optimized geometry, PBE-GGA.

a = 6.194 Å, b = 6.194 Å, c = 4.240 Å
α = 90.01°, β = 90.01°, γ = 41.03°
Sites, in units of the cell vectors:
Sr  0.000  0.000  0.000
Sr  0.722  0.722  0.501
Cu  0.309  0.309  0.001
P  0.427  0.427  0.500

Its space-group type is Cm. As for the theoretical density: 4.20 g/cm3. The total moment comes out at 0.00 μB per cell. The formation energy comes out at -0.599 eV per atom.